No. 1
Below is a geometry-optimized Sc2OsPb structure, with properties calculated at the GGA-PBE level.

```
4
Lattice="-1.633 2.308 5.692 1.633 -2.308 5.692 1.633 2.308 -5.692" Properties=species:S:1:pos:R:3 pbc="T T T"
Sc 0.000 0.000 0.000
Sc 0.000 2.308 2.311
Os 1.633 0.000 2.147
Pb 0.000 0.000 4.557
```

Calculated values
M_tot	0.00	μB per cell
final energy	-0.2610	hartree per atom
DOS at the Fermi energy	1.76	states/eV per cell



No. 2
Below is a geometry-optimized LaBe2Tc structure, with properties calculated at the GGA-PBE level.

```
4
Lattice="1.987 1.147 5.111 -1.987 1.147 5.111 0.000 -2.294 5.111" Properties=species:S:1:pos:R:3 pbc="T T T"
La 0.000 0.000 0.000
Be 0.000 0.000 2.929
Be 0.000 0.000 12.402
Tc 0.000 0.000 7.666
```

Calculated values
M_tot	0.00	μB per cell
final energy	-0.2074	hartree per atom
DOS at the Fermi energy	2.92	states/eV per cell



No. 3
Below is a geometry-optimized Y5Sc4Ir4 structure, with properties calculated at the GGA-PBE level.

```
13
Lattice="-5.907 5.907 2.129 5.907 -5.907 2.129 5.907 5.907 -2.129" Properties=species:S:1:pos:R:3 pbc="T T T"
Y 0.000 0.000 0.000
Y 4.386 3.641 0.000
Y 2.266 -1.521 2.129
Y 3.641 7.428 0.000
Y 1.521 2.266 2.129
Sc 7.013 1.282 0.000
Sc 1.282 4.801 0.000
Sc 4.625 1.106 2.129
Sc -1.106 4.625 2.129
Ir 3.013 0.849 0.000
Ir 5.058 -2.894 2.129
Ir 0.849 8.801 0.000
Ir 2.894 5.058 2.129
```

Calculated values
M_tot	0.00	μB per cell
final energy	-0.2877	hartree per atom
DOS at the Fermi energy	15.14	states/eV per cell



No. 4
Below is a geometry-optimized Ba12Tl5Hg2 structure, with properties calculated at the GGA-PBE level.

```
19
Lattice="9.579 -4.386 0.000 9.579 4.386 0.000 -2.045 0.000 11.234" Properties=species:S:1:pos:R:3 pbc="T T T"
Ba -0.288 0.000 3.113
Ba 4.265 2.221 9.874
Ba 5.848 2.184 4.842
Ba 11.266 2.184 6.392
Ba 12.849 2.221 1.360
Ba 8.247 0.000 1.951
Ba 8.867 0.000 9.282
Ba 4.265 -2.221 9.874
Ba 5.848 -2.184 4.842
Ba 11.266 -2.184 6.392
Ba 12.849 -2.221 1.360
Ba 17.402 0.000 8.121
Tl 1.366 0.000 9.663
Tl 3.170 0.000 4.074
Tl 8.557 0.000 5.617
Tl 13.944 0.000 7.160
Tl 15.747 0.000 1.571
Hg 9.579 2.744 0.000
Hg 9.579 -2.744 0.000
```

Calculated values
M_tot	0.00	μB per cell
final energy	-0.0774	hartree per atom
DOS at the Fermi energy	25.95	states/eV per cell



No. 5
Below is a geometry-optimized Sc2OsRu structure, with properties calculated at the GGA-PBE level.

```
4
Lattice="4.838 -1.634 0.000 4.838 1.634 0.000 -2.467 0.000 4.232" Properties=species:S:1:pos:R:3 pbc="T T T"
Sc 1.778 0.000 1.044
Sc 5.431 0.000 3.188
Os -1.234 0.000 2.116
Ru 4.838 0.000 0.000
```

Calculated values
M_tot	0.00	μB per cell
final energy	-0.3120	hartree per atom
DOS at the Fermi energy	3.13	states/eV per cell



No. 6
Below is a geometry-optimized CsCaSi2 structure, with properties calculated at the GGA-PBE level.

```
8
Lattice="-2.636 2.636 10.351 2.636 -2.636 10.351 2.636 2.636 -10.351" Properties=species:S:1:pos:R:3 pbc="T T T"
Cs 2.636 1.318 2.588
Cs 0.000 1.318 7.764
Ca 2.636 -1.318 7.764
Ca 0.000 3.955 2.588
Si 0.000 0.000 0.000
Si 1.318 1.318 -5.176
Si 1.318 -1.318 5.176
Si 0.000 2.636 0.000
```

Calculated values
M_tot	0.00	μB per cell
raw formation energy	1.33	eV/f.u.
final energy	-0.1137	hartree per atom
DOS at the Fermi energy	4.78	states/eV per cell



No. 7
Below is a geometry-optimized Er4TeAsSe2 structure, with properties calculated at the GGA-PBE level.

```
8
Lattice="7.084 0.000 0.000 0.000 4.109 0.000 -2.382 0.000 6.836" Properties=species:S:1:pos:R:3 pbc="T T T"
Er 1.138 0.000 1.511
Er -0.050 2.054 5.275
Er 4.752 2.054 1.561
Er 3.564 0.000 5.325
Te 2.351 2.054 3.418
As 3.542 0.000 0.000
Se -1.191 0.000 3.418
Se 0.000 2.054 0.000
```

Calculated values
M_tot	0.00	μB per cell
raw formation energy	-12.48	eV/f.u.
final energy	-0.2090	hartree per atom
DOS at the Fermi energy	3.32	states/eV per cell



No. 8
Below is a geometry-optimized Tb2SmTmSb4 structure, with properties calculated at the GGA-PBE level.

```
8
Lattice="7.626 0.000 0.000 0.000 4.406 0.000 -2.545 0.000 7.192" Properties=species:S:1:pos:R:3 pbc="T T T"
Tb 0.000 0.000 0.000
Tb 3.813 2.203 0.000
Sm -1.272 2.203 3.596
Tm 2.541 0.000 3.596
Sb 0.028 0.000 5.405
Sb 1.301 2.203 1.810
Sb 3.780 2.203 5.382
Sb 5.053 0.000 1.787
```

Calculated values
M_tot	0.00	μB per cell
raw formation energy	-9.05	eV/f.u.
final energy	-0.2021	hartree per atom
DOS at the Fermi energy	1.09	states/eV per cell



No. 9
Below is a geometry-optimized Fe3Tc2 structure, with properties calculated at the GGA-PBE level.

```
10
Lattice="0.000 6.163 2.280 4.340 0.000 2.280 4.340 6.163 0.000" Properties=species:S:1:pos:R:3 pbc="T T T"
Fe 0.000 0.000 0.000
Fe 2.170 3.081 1.140
Fe 4.770 4.930 2.481
Fe 3.911 7.395 2.481
Fe 6.081 8.012 3.622
Fe 6.940 10.476 3.622
Tc 6.206 6.800 1.461
Tc 4.035 2.444 2.602
Tc 2.475 5.525 1.461
Tc 4.646 9.882 2.602
```

Calculated values
M_tot	0.54	μB per cell
final energy	-0.3332	hartree per atom
DOS at the Fermi energy	13.21	states/eV per cell



No. 10
Below is a geometry-optimized PrGdTmSc structure, with properties calculated at the GGA-PBE level.

```
4
Lattice="0.000 3.946 3.946 3.946 0.000 3.946 3.946 3.946 0.000" Properties=species:S:1:pos:R:3 pbc="T T T"
Pr 0.000 0.000 0.000
Gd 3.946 3.946 3.946
Tm 1.973 1.973 1.973
Sc 5.919 5.919 5.919
```

Calculated values
M_tot	7.29	μB per cell
final energy	-0.2693	hartree per atom
DOS at the Fermi energy	6.11	states/eV per cell



No. 11
Below is a geometry-optimized SmEuAgPd structure, with properties calculated at the GGA-PBE level.

```
4
Lattice="0.000 3.670 3.670 3.670 0.000 3.670 3.670 3.670 0.000" Properties=species:S:1:pos:R:3 pbc="T T T"
Sm 0.000 0.000 0.000
Eu 3.670 3.670 3.670
Ag 1.835 1.835 1.835
Pd 5.505 5.505 5.505
```

Calculated values
M_tot	7.10	μB per cell
final energy	-0.2292	hartree per atom
DOS at the Fermi energy	8.24	states/eV per cell



No. 12
Below is a geometry-optimized RbHoFe2I8 structure, with properties calculated at the GGA-PBE level.

```
12
Lattice="6.119 -4.203 0.000 6.119 4.203 0.000 -0.994 0.000 10.698" Properties=species:S:1:pos:R:3 pbc="T T T"
Rb 0.000 0.000 0.000
Ho -0.497 0.000 5.349
Fe 3.903 0.000 7.621
Fe 7.342 0.000 3.078
I 5.655 2.088 3.152
I 2.517 0.000 5.386
I 5.589 2.088 7.546
I 2.766 0.000 9.903
I 8.478 0.000 0.795
I 5.655 -2.088 3.152
I 8.728 0.000 5.312
I 5.589 -2.088 7.546
```

Calculated values
M_tot	8.00	μB per cell
raw formation energy	-8.55	eV/f.u.
final energy	-0.1330	hartree per atom
DOS at the Fermi energy	12.81	states/eV per cell



No. 13
Below is a geometry-optimized Be3Si23 structure, with properties calculated at the GGA-PBE level.

```
52
Lattice="10.184 0.000 0.000 0.000 10.184 0.000 0.000 0.000 10.184" Properties=species:S:1:pos:R:3 pbc="T T T"
Be 0.000 2.546 5.092
Be 0.000 7.638 5.092
Be 2.546 5.092 0.000
Be 5.092 0.000 2.546
Be 5.092 0.000 7.638
Be 7.638 5.092 0.000
Si 0.000 3.149 1.188
Si 0.000 3.149 8.996
Si 0.000 5.092 2.546
Si 0.000 5.092 7.638
Si 0.000 7.035 1.188
Si 0.000 7.035 8.996
Si 1.188 0.000 3.149
Si 1.188 0.000 7.035
Si 1.872 1.872 1.872
Si 1.872 1.872 8.312
Si 1.872 8.312 1.872
Si 1.872 8.312 8.312
Si 1.943 5.092 3.904
Si 1.943 5.092 6.279
Si 2.546 0.000 5.092
Si 3.149 1.188 0.000
Si 3.149 8.996 0.000
Si 3.220 3.220 3.220
Si 3.220 3.220 6.964
Si 3.220 6.964 3.220
Si 3.220 6.964 6.964
Si 3.904 1.943 5.092
Si 3.904 8.241 5.092
Si 5.092 2.546 0.000
Si 5.092 3.904 1.943
Si 5.092 3.904 8.241
Si 5.092 6.279 1.943
Si 5.092 6.279 8.241
Si 5.092 7.638 0.000
Si 6.279 1.943 5.092
Si 6.279 8.241 5.092
Si 6.964 3.220 3.220
Si 6.964 3.220 6.964
Si 6.964 6.964 3.220
Si 6.964 6.964 6.964
Si 7.035 1.188 0.000
Si 7.035 8.996 0.000
Si 7.638 0.000 5.092
Si 8.241 5.092 3.904
Si 8.241 5.092 6.279
Si 8.312 1.872 1.872
Si 8.312 1.872 8.312
Si 8.312 8.312 1.872
Si 8.312 8.312 8.312
Si 8.996 0.000 3.149
Si 8.996 0.000 7.035
```

Calculated values
M_tot	0.00	μB per cell
raw formation energy	9.88	eV/f.u.
final energy	-0.1781	hartree per atom
DOS at the Fermi energy	6.87	states/eV per cell



No. 14
Below is a geometry-optimized MgFe2Br structure, with properties calculated at the GGA-PBE level.

```
4
Lattice="0.000 3.185 3.185 3.185 0.000 3.185 3.185 3.185 0.000" Properties=species:S:1:pos:R:3 pbc="T T T"
Mg 0.000 0.000 0.000
Fe 1.592 1.592 1.592
Fe 3.185 3.185 3.185
Br 4.777 4.777 4.777
```

Calculated values
M_tot	4.79	μB per cell
raw formation energy	2.53	eV/f.u.
final energy	-0.1623	hartree per atom
DOS at the Fermi energy	2.24	states/eV per cell



No. 15
Below is a geometry-optimized MnAs2Pd2 structure, with properties calculated at the GGA-PBE level.

```
10
Lattice="7.214 0.000 0.000 0.000 7.214 0.000 0.000 0.000 3.270" Properties=species:S:1:pos:R:3 pbc="T T T"
Mn 0.000 0.000 0.000
Mn 3.607 3.607 0.000
As 1.224 2.383 1.635
As 2.383 5.990 1.635
As 4.831 1.224 1.635
As 5.990 4.831 1.635
Pd 0.981 4.588 0.000
Pd 2.626 0.981 0.000
Pd 4.588 6.233 0.000
Pd 6.233 2.626 0.000
```

Calculated values
M_tot	8.12	μB per cell
final energy	-0.2142	hartree per atom
DOS at the Fermi energy	4.87	states/eV per cell



No. 16
Below is a geometry-optimized AgSn5As4 structure, with properties calculated at the GGA-PBE level.

```
10
Lattice="-2.049 2.049 14.555 2.049 -2.049 14.555 2.049 2.049 -14.555" Properties=species:S:1:pos:R:3 pbc="T T T"
Ag 0.000 0.000 0.000
Sn 0.000 0.000 2.954
Sn 0.000 0.000 8.747
Sn 0.000 0.000 14.555
Sn 0.000 0.000 20.364
Sn 0.000 0.000 26.157
As 0.000 0.000 5.817
As 0.000 0.000 11.624
As 0.000 0.000 17.486
As 0.000 0.000 23.293
```

Calculated values
M_tot	0.00	μB per cell
final energy	-0.1530	hartree per atom
DOS at the Fermi energy	3.89	states/eV per cell



No. 17
Below is a geometry-optimized AcLaThTc structure, with properties calculated at the GGA-PBE level.

```
4
Lattice="2.256 1.303 8.064 -2.256 1.303 8.064 0.000 -2.605 8.064" Properties=species:S:1:pos:R:3 pbc="T T T"
Ac 0.000 0.000 0.000
La 0.000 0.000 19.288
Th 0.000 0.000 5.495
Tc 0.000 0.000 13.595
```

Calculated values
M_tot	0.82	μB per cell
final energy	-0.2414	hartree per atom
DOS at the Fermi energy	3.72	states/eV per cell



No. 18
Below is a geometry-optimized CeHo12Er7 structure, with properties calculated at the GGA-PBE level.

```
20
Lattice="7.442 4.297 3.283 -7.442 4.297 3.283 0.000 -8.594 3.283" Properties=species:S:1:pos:R:3 pbc="T T T"
Ce 0.000 0.000 0.000
Ho -1.774 -1.924 2.519
Ho -3.458 0.450 4.186
Ho -0.780 2.498 2.519
Ho -2.118 -2.770 5.662
Ho 1.339 -3.219 4.186
Ho 2.553 -0.574 2.519
Ho -2.553 0.574 7.329
Ho -1.339 3.219 5.662
Ho 2.118 2.770 4.186
Ho 0.780 -2.498 7.329
Ho 3.458 -0.450 5.662
Ho 1.774 1.924 7.329
Er -0.782 -5.429 2.594
Er 0.782 5.429 7.254
Er -4.311 3.392 2.594
Er -5.093 -2.037 7.254
Er 0.000 0.000 4.924
Er 5.093 2.037 2.594
Er 4.311 -3.392 7.254
```

Calculated values
M_tot	0.64	μB per cell
final energy	-0.1639	hartree per atom
DOS at the Fermi energy	40.41	states/eV per cell



No. 19
Below is a geometry-optimized Al2OsW structure, with properties calculated at the GGA-PBE level.

```
4
Lattice="-1.501 2.173 4.560 1.501 -2.173 4.560 1.501 2.173 -4.560" Properties=species:S:1:pos:R:3 pbc="T T T"
Al 0.000 0.000 0.000
Al 0.000 2.173 2.050
Os 1.501 0.000 2.123
W 0.000 0.000 4.310
```

Calculated values
M_tot	0.00	μB per cell
final energy	-0.2951	hartree per atom
DOS at the Fermi energy	2.03	states/eV per cell



No. 20
Below is a geometry-optimized KPrGeSe4 structure, with properties calculated at the GGA-PBE level.

```
14
Lattice="6.975 0.000 0.000 0.000 7.132 0.000 -2.785 0.000 8.762" Properties=species:S:1:pos:R:3 pbc="T T T"
K 0.483 0.000 3.831
K 3.706 3.566 4.932
Pr -0.747 0.033 8.304
Pr 4.936 3.599 0.458
Ge 1.441 3.361 1.555
Ge 2.749 6.927 7.208
Se -2.059 2.908 8.088
Se -0.414 3.333 2.999
Se 1.128 5.223 6.757
Se 2.782 5.320 1.854
Se 1.408 1.754 6.908
Se 3.061 1.657 2.005
Se 4.604 6.899 5.764
Se 6.248 6.474 0.674
```

Calculated values
M_tot	0.00	μB per cell
raw formation energy	-8.06	eV/f.u.
final energy	-0.1706	hartree per atom
DOS at the Fermi energy	0.00	states/eV per cell



No. 21
Below is a geometry-optimized SbMo2Os structure, with properties calculated at the GGA-PBE level.

```
4
Lattice="4.176 0.000 0.000 0.000 1.472 5.539 0.000 -1.472 5.539" Properties=species:S:1:pos:R:3 pbc="T T T"
Sb 0.000 0.000 0.000
Mo 0.000 0.000 2.802
Mo 2.088 0.000 6.791
Os 2.088 0.000 9.321
```

Calculated values
M_tot	0.00	μB per cell
raw formation energy	1.33	eV/f.u.
final energy	-0.3279	hartree per atom
DOS at the Fermi energy	3.89	states/eV per cell



No. 22
Below is a geometry-optimized Re2BAs structure, with properties calculated at the GGA-PBE level.

```
4
Lattice="0.000 2.940 2.940 2.940 0.000 2.940 2.940 2.940 0.000" Properties=species:S:1:pos:R:3 pbc="T T T"
Re 1.470 1.470 1.470
Re 4.410 4.410 4.410
B 0.000 0.000 0.000
As 2.940 2.940 2.940
```

Calculated values
M_tot	0.00	μB per cell
final energy	-0.3143	hartree per atom
DOS at the Fermi energy	2.38	states/eV per cell